## KNbCu2Se4 (meta-GGA SCAN)

Data for KNbCu2Se4 at its PBEsol-relaxed geometry.

The structure belongs to space group Ama2 (No. 40); the cell edges are 7.578, 18.716 and 5.624 Å and the angles 90.00°, 90.00° and 90.00°. Symmetry generates all atoms from K at (0.250, 0.183, 0.000), Nb at (0.250, 0.389, 0.257), Cu at (0.000, 0.000, 0.739), Cu at (0.250, 0.393, 0.757), Se at (0.011, 0.107, 0.504), Se at (0.250, 0.286, 0.513) and Se at (0.250, 0.498, 0.507).

The mass density comes out at 4.79 g/cm3. As for the uncorrected formation energy: -822 meV/atom. The total energy is -634.99 eV/cell.